Entry 1:
# PBE-GGA Nd6Sm8Ho, optimized geometry
data_Nd6Sm8Ho
_chemical_formula_sum 'Nd6 Sm8 Ho1'
_cell_length_a 8.814
_cell_length_b 8.814
_cell_length_c 8.814
_cell_angle_alpha 63.33
_cell_angle_beta 63.33
_cell_angle_gamma 63.33
_symmetry_space_group_name_H-M 'P 1'
_symmetry_Int_Tables_number 1
_symmetry_space_group_name_Hall 'P 1'
loop_
_atom_site_label
_atom_site_type_symbol
_atom_site_fract_x
_atom_site_fract_y
_atom_site_fract_z
Nd1 Nd 0.039 0.600 0.736
Nd2 Nd 0.264 0.961 0.400
Nd3 Nd 0.400 0.264 0.961
Nd4 Nd 0.600 0.736 0.039
Nd5 Nd 0.736 0.039 0.600
Nd6 Nd 0.961 0.400 0.264
Sm1 Sm 0.077 0.077 0.077
Sm2 Sm 0.218 0.613 0.250
Sm3 Sm 0.250 0.218 0.613
Sm4 Sm 0.387 0.750 0.782
Sm5 Sm 0.613 0.250 0.218
Sm6 Sm 0.750 0.782 0.387
Sm7 Sm 0.782 0.387 0.750
Sm8 Sm 0.923 0.923 0.923
Ho1 Ho 0.500 0.500 0.500
# **E_form**: 0.113 eV/atom
# **Excess energy over the best structure of this formula in the dataset**: 0 meV/atom
# **Size of the total moment**: 0.000 μB per atom
# **Space-group type**: R-3

***

Entry 2:
# PBE-GGA Y3NbTl, optimized geometry
data_Y3NbTl
_chemical_formula_sum 'Y3 Nb1 Tl1'
_cell_length_a 5.445
_cell_length_b 5.445
_cell_length_c 5.445
_cell_angle_alpha 90.00
_cell_angle_beta 90.00
_cell_angle_gamma 90.00
_symmetry_space_group_name_H-M 'P 1'
_symmetry_Int_Tables_number 1
_symmetry_space_group_name_Hall 'P 1'
loop_
_atom_site_label
_atom_site_type_symbol
_atom_site_fract_x
_atom_site_fract_y
_atom_site_fract_z
Y1 Y 0.000 0.000 0.500
Y2 Y 0.000 0.500 0.000
Y3 Y 0.500 0.000 0.000
Nb1 Nb 0.000 0.000 0.000
Tl1 Tl 0.500 0.500 0.500
# **E_form**: 0.486 eV/atom
# **Excess energy over the best structure of this formula in the dataset**: 0 meV/atom
# **Size of the total moment**: 0.000 μB per atom
# **Space-group type**: Pm-3m

***

Entry 3:
# PBE-GGA ZrSbP4, optimized geometry
data_ZrSbP4
_chemical_formula_sum 'Zr1 Sb1 P4'
_cell_length_a 5.274
_cell_length_b 5.274
_cell_length_c 5.274
_cell_angle_alpha 60.00
_cell_angle_beta 60.00
_cell_angle_gamma 60.00
_symmetry_space_group_name_H-M 'P 1'
_symmetry_Int_Tables_number 1
_symmetry_space_group_name_Hall 'P 1'
loop_
_atom_site_label
_atom_site_type_symbol
_atom_site_fract_x
_atom_site_fract_y
_atom_site_fract_z
Zr1 Zr 0.000 0.000 0.000
Sb1 Sb 0.250 0.250 0.250
P1 P 0.113 0.629 0.629
P2 P 0.629 0.113 0.629
P3 P 0.629 0.629 0.113
P4 P 0.629 0.629 0.629
# **Formation energy from raw total energies**: 244 meV/atom
# **Size of the total moment**: 0.000 μB per atom
# **Space-group type**: F-43m

***

Entry 4:
# PBE-GGA PmDy3Al4, optimized geometry
data_PmDy3Al4
_chemical_formula_sum 'Pm2 Dy6 Al8'
_cell_length_a 10.232
_cell_length_b 7.280
_cell_length_c 5.117
_cell_angle_alpha 90.00
_cell_angle_beta 90.00
_cell_angle_gamma 90.00
_symmetry_space_group_name_H-M 'P 1'
_symmetry_Int_Tables_number 1
_symmetry_space_group_name_Hall 'P 1'
loop_
_atom_site_label
_atom_site_type_symbol
_atom_site_fract_x
_atom_site_fract_y
_atom_site_fract_z
Pm1 Pm 0.000 0.000 0.000
Pm2 Pm 0.500 0.000 0.000
Dy1 Dy 0.000 0.500 0.000
Dy2 Dy 0.250 0.000 0.499
Dy3 Dy 0.250 0.500 0.499
Dy4 Dy 0.500 0.500 0.000
Dy5 Dy 0.750 0.000 0.501
Dy6 Dy 0.750 0.500 0.501
Al1 Al 0.000 0.256 0.500
Al2 Al 0.000 0.744 0.500
Al3 Al 0.250 0.256 0.999
Al4 Al 0.250 0.744 0.999
Al5 Al 0.500 0.256 0.500
Al6 Al 0.500 0.744 0.500
Al7 Al 0.750 0.256 0.001
Al8 Al 0.750 0.744 0.001
# **E_form**: -0.388 eV/atom
# **Size of the total moment**: 0.000 μB per atom
# **Space-group type**: Pmma

***

Entry 5:
# PBE-GGA Rb2Sc2Cd, optimized geometry
data_Rb2Sc2Cd
_chemical_formula_sum 'Rb4 Sc4 Cd2'
_cell_length_a 11.864
_cell_length_b 11.864
_cell_length_c 3.351
_cell_angle_alpha 90.00
_cell_angle_beta 90.00
_cell_angle_gamma 90.00
_symmetry_space_group_name_H-M 'P 1'
_symmetry_Int_Tables_number 1
_symmetry_space_group_name_Hall 'P 1'
loop_
_atom_site_label
_atom_site_type_symbol
_atom_site_fract_x
_atom_site_fract_y
_atom_site_fract_z
Rb1 Rb 0.205 0.295 0.000
Rb2 Rb 0.295 0.795 0.000
Rb3 Rb 0.705 0.205 0.000
Rb4 Rb 0.795 0.705 0.000
Sc1 Sc 0.081 0.581 0.500
Sc2 Sc 0.419 0.081 0.500
Sc3 Sc 0.581 0.919 0.500
Sc4 Sc 0.919 0.419 0.500
Cd1 Cd 0.000 0.000 0.000
Cd2 Cd 0.500 0.500 0.000
# **E_form**: 0.826 eV/atom
# **Excess energy over the best structure of this formula in the dataset**: 350 meV/atom
# **Size of the total moment**: 0.188 μB per atom
# **Space-group type**: P4/mbm

***

Entry 6:
# PBE-GGA Ho8In2Pb, optimized geometry
data_Ho8In2Pb
_chemical_formula_sum 'Ho8 In2 Pb1'
_cell_length_a 8.861
_cell_length_b 8.861
_cell_length_c 8.048
_cell_angle_alpha 109.76
_cell_angle_beta 109.76
_cell_angle_gamma 31.95
_symmetry_space_group_name_H-M 'P 1'
_symmetry_Int_Tables_number 1
_symmetry_space_group_name_Hall 'P 1'
loop_
_atom_site_label
_atom_site_type_symbol
_atom_site_fract_x
_atom_site_fract_y
_atom_site_fract_z
Ho1 Ho 0.053 0.053 0.225
Ho2 Ho 0.143 0.143 0.703
Ho3 Ho 0.319 0.319 0.563
Ho4 Ho 0.404 0.404 0.045
Ho5 Ho 0.596 0.596 0.955
Ho6 Ho 0.681 0.681 0.437
Ho7 Ho 0.857 0.857 0.297
Ho8 Ho 0.947 0.947 0.775
In1 In 0.225 0.225 0.146
In2 In 0.775 0.775 0.854
Pb1 Pb 0.500 0.500 0.500
# **E_form**: -0.256 eV/atom
# **Size of the total moment**: 0.000 μB per atom
# **Space-group type**: C2/m

***

Entry 7:
# PBE-GGA Cs2Zn2CdSe4, optimized geometry
data_Cs2Zn2CdSe4
_chemical_formula_sum 'Cs2 Zn2 Cd1 Se4'
_cell_length_a 8.709
_cell_length_b 8.709
_cell_length_c 8.209
_cell_angle_alpha 107.50
_cell_angle_beta 107.50
_cell_angle_gamma 27.46
_symmetry_space_group_name_H-M 'P 1'
_symmetry_Int_Tables_number 1
_symmetry_space_group_name_Hall 'P 1'
loop_
_atom_site_label
_atom_site_type_symbol
_atom_site_fract_x
_atom_site_fract_y
_atom_site_fract_z
Cs1 Cs 0.126 0.126 0.034
Cs2 Cs 0.874 0.874 0.966
Zn1 Zn 0.326 0.326 0.517
Zn2 Zn 0.674 0.674 0.483
Cd1 Cd 0.000 0.000 0.500
Se1 Se 0.212 0.212 0.668
Se2 Se 0.471 0.471 0.706
Se3 Se 0.529 0.529 0.294
Se4 Se 0.788 0.788 0.332
# **Formation energy from raw total energies**: -872 meV/atom
# **Size of the total moment**: 0.000 μB per atom
# **Space-group type**: C2/m

***

Entry 8:
# PBE-GGA Rb2TaTiF6, optimized geometry
data_Rb2TaTiF6
_chemical_formula_sum 'Rb2 Ta1 Ti1 F6'
_cell_length_a 6.167
_cell_length_b 6.167
_cell_length_c 6.167
_cell_angle_alpha 60.00
_cell_angle_beta 60.00
_cell_angle_gamma 60.00
_symmetry_space_group_name_H-M 'P 1'
_symmetry_Int_Tables_number 1
_symmetry_space_group_name_Hall 'P 1'
loop_
_atom_site_label
_atom_site_type_symbol
_atom_site_fract_x
_atom_site_fract_y
_atom_site_fract_z
Rb1 Rb 0.250 0.250 0.250
Rb2 Rb 0.750 0.750 0.750
Ta1 Ta 0.000 0.000 0.000
Ti1 Ti 0.500 0.500 0.500
F1 F 0.251 0.251 0.749
F2 F 0.251 0.749 0.251
F3 F 0.251 0.749 0.749
F4 F 0.749 0.251 0.251
F5 F 0.749 0.251 0.749
F6 F 0.749 0.749 0.251
# **Formation energy from raw total energies**: -2363 meV/atom
# **Size of the total moment**: 0.498 μB per atom
# **Space-group type**: Fm-3m

***

Entry 9:
# PBE-GGA Sc2AlAu4, optimized geometry
data_Sc2AlAu4
_chemical_formula_sum 'Sc2 Al1 Au4'
_cell_length_a 8.260
_cell_length_b 8.260
_cell_length_c 8.260
_cell_angle_alpha 31.93
_cell_angle_beta 31.93
_cell_angle_gamma 31.93
_symmetry_space_group_name_H-M 'P 1'
_symmetry_Int_Tables_number 1
_symmetry_space_group_name_Hall 'P 1'
loop_
_atom_site_label
_atom_site_type_symbol
_atom_site_fract_x
_atom_site_fract_y
_atom_site_fract_z
Sc1 Sc 0.247 0.247 0.247
Sc2 Sc 0.753 0.753 0.753
Al1 Al 0.000 0.000 0.000
Au1 Au 0.128 0.128 0.128
Au2 Au 0.370 0.370 0.370
Au3 Au 0.630 0.630 0.630
Au4 Au 0.872 0.872 0.872
# **E_form**: -0.583 eV/atom
# **Size of the total moment**: 0.000 μB per atom
# **Space-group type**: R-3m

***

Entry 10:
# PBE-GGA HfGaRu2, optimized geometry
data_HfGaRu2
_chemical_formula_sum 'Hf1 Ga1 Ru2'
_cell_length_a 4.366
_cell_length_b 4.366
_cell_length_c 3.233
_cell_angle_alpha 90.00
_cell_angle_beta 90.00
_cell_angle_gamma 90.00
_symmetry_space_group_name_H-M 'P 1'
_symmetry_Int_Tables_number 1
_symmetry_space_group_name_Hall 'P 1'
loop_
_atom_site_label
_atom_site_type_symbol
_atom_site_fract_x
_atom_site_fract_y
_atom_site_fract_z
Hf1 Hf 0.000 0.000 0.000
Ga1 Ga 0.500 0.500 0.000
Ru1 Ru 0.000 0.500 0.500
Ru2 Ru 0.500 0.000 0.500
# **E_form**: -0.622 eV/atom
# **Size of the total moment**: 0.000 μB per atom
# **Space-group type**: P4/mmm

***

Entry 11:
# PBE-GGA YZr5, optimized geometry
data_YZr5
_chemical_formula_sum 'Y1 Zr5'
_cell_length_a 7.268
_cell_length_b 7.268
_cell_length_c 4.589
_cell_angle_alpha 90.00
_cell_angle_beta 90.00
_cell_angle_gamma 143.00
_symmetry_space_group_name_H-M 'P 1'
_symmetry_Int_Tables_number 1
_symmetry_space_group_name_Hall 'P 1'
loop_
_atom_site_label
_atom_site_type_symbol
_atom_site_fract_x
_atom_site_fract_y
_atom_site_fract_z
Y1 Y 0.000 0.000 0.000
Zr1 Zr 0.170 0.830 0.500
Zr2 Zr 0.330 0.670 0.000
Zr3 Zr 0.500 0.500 0.500
Zr4 Zr 0.670 0.330 0.000
Zr5 Zr 0.830 0.170 0.500
# **E_form**: 0.096 eV/atom
# **Size of the total moment**: 0.000 μB per atom
# **Space-group type**: Cmmm

***

Entry 12:
# PBE-GGA ZrSi2PtPb, optimized geometry
data_ZrSi2PtPb
_chemical_formula_sum 'Zr1 Si2 Pt1 Pb1'
_cell_length_a 4.996
_cell_length_b 4.996
_cell_length_c 5.529
_cell_angle_alpha 90.00
_cell_angle_beta 90.00
_cell_angle_gamma 90.00
_symmetry_space_group_name_H-M 'P 1'
_symmetry_Int_Tables_number 1
_symmetry_space_group_name_Hall 'P 1'
loop_
_atom_site_label
_atom_site_type_symbol
_atom_site_fract_x
_atom_site_fract_y
_atom_site_fract_z
Zr1 Zr 0.000 0.000 0.000
Si1 Si 0.000 0.500 0.500
Si2 Si 0.500 0.000 0.500
Pt1 Pt 0.500 0.500 0.000
Pb1 Pb 0.000 0.000 0.500
# **Formation energy from raw total energies**: 1638 meV/atom
# **Size of the total moment**: 0.000 μB per atom
# **Space-group type**: P4/mmm

***

Entry 13:
# PBE-GGA Tb2RhBr, optimized geometry
data_Tb2RhBr
_chemical_formula_sum 'Tb2 Rh1 Br1'
_cell_length_a 8.074
_cell_length_b 8.074
_cell_length_c 8.074
_cell_angle_alpha 28.75
_cell_angle_beta 28.75
_cell_angle_gamma 28.75
_symmetry_space_group_name_H-M 'P 1'
_symmetry_Int_Tables_number 1
_symmetry_space_group_name_Hall 'P 1'
loop_
_atom_site_label
_atom_site_type_symbol
_atom_site_fract_x
_atom_site_fract_y
_atom_site_fract_z
Tb1 Tb 0.000 0.000 0.000
Tb2 Tb 0.206 0.206 0.206
Rh1 Rh 0.603 0.603 0.603
Br1 Br 0.774 0.774 0.774
# **Formation energy from raw total energies**: -1077 meV/atom
# **Excess energy over the best structure of this formula in the dataset**: 17 meV/atom
# **Size of the total moment**: 0.000 μB per atom
# **Space-group type**: R3m